Compound: VPH
Source: Alexandria
Functional: PBE
Structure: relaxed

## Properties
raw total energy	-0.472	Ry per atom
energy above the lowest structure with this stoichiometry	0	meV per atom

Unit cell a=3.161 b=3.227 c=3.227 alpha=120.00 beta=90.00 gamma=90.00
Fractional coordinates of all 3 atoms:
V 0.166 0.000 0.000
H 0.167 0.333 0.667
P 0.666 0.667 0.333